# BaTc2W (SCAN, PBEsol geometry)
data_BaTc2W
_chemical_formula_sum 'Ba1 Tc2 W1'
_symmetry_space_group_name_H-M 'P 1'
_symmetry_Int_Tables_number 1
_symmetry_space_group_name_Hall 'P 1'
_cell_length_a 3.175
_cell_length_b 4.991
_cell_length_c 6.192
_cell_angle_alpha 103.64
_cell_angle_beta 90.00
_cell_angle_gamma 108.55
loop_
_atom_site_label
_atom_site_type_symbol
_atom_site_fract_x
_atom_site_fract_y
_atom_site_fract_z
Ba1 Ba 0.744 0.488 0.243
Tc1 Tc 0.964 0.928 0.874
Tc2 Tc 0.250 0.500 0.756
W1 W 0.542 0.084 0.627
# * E above lowest polymorph: 26 meV per atom
# * formation energy from the elements: 0.7947 eV per atom
# * magnetic moment: 0.0 Bohr magnetons per cell
# * SG: No. 8